(1)
Entry from Alexandria via LeMat-Bulk: a relaxed FeRhW2 crystal (PBE).

Calculated values
**Crystal system**: tetragonal
**Polymorph energy (0 for the lowest one)**: 44.5 meV per atom
**Calculated density**: 15.298 g/cm3

Cell: 3.8441 3.8441 3.8671 Å, 90.00 90.00 90.00°
Element x y z (fractional)
Fe  0.0000  0.0000  0.0000
Rh  0.5000  0.5000  0.0000
W  0.0000  0.5000  0.5000
W  0.5000  0.0000  0.5000



(2)
Entry from Alexandria via LeMat-Bulk: a relaxed BiPd2O4 crystal (PBE).

Calculated values
**Crystal system**: orthorhombic
**Polymorph energy (0 for the lowest one)**: 151.4 meV per atom
**Calculated density**: 7.665 g/cm3

Cell: 7.3635 5.8009 7.8004 Å, 63.57 44.87 71.56°
Element x y z (fractional)
Bi  0.0000  0.0000  0.0000
Bi  0.2500  0.2500  0.2500
Pd  0.2935  0.6470  0.4810
Pd  0.6470  0.2935  0.5785
Pd  0.6715  0.7690  0.6030
Pd  0.7690  0.6715  0.9565
O  0.0877  0.9042  0.6797
O  0.4069  0.9905  0.8249
O  0.4251  0.4724  0.8431
O  0.4724  0.4251  0.2595
O  0.5703  0.9216  0.1623
O  0.9042  0.0877  0.3284
O  0.9216  0.5703  0.3458
O  0.9905  0.4069  0.7776



(3)
Entry from Alexandria via LeMat-Bulk: a relaxed AgSnSe2 crystal (PBE).

Calculated values
**Crystal system**: trigonal
**Raw total energy**: -39.798 eV/cell
**Calculated density**: 6.021 g/cm3

Cell: 3.7402 3.7402 26.2609 Å, 90.00 90.00 120.00°
Element x y z (fractional)
Ag  0.0000  0.0000  0.0000
Ag  0.3333  0.6667  0.6667
Ag  0.6667  0.3333  0.3333
Sn  0.0000  0.0000  0.5000
Sn  0.3333  0.6667  0.1667
Sn  0.6667  0.3333  0.8333
Se  0.0000  0.0000  0.3920
Se  0.0000  0.0000  0.6080
Se  0.3333  0.6667  0.0587
Se  0.3333  0.6667  0.2746
Se  0.6667  0.3333  0.7254
Se  0.6667  0.3333  0.9413



(4)
Entry from Alexandria via LeMat-Bulk: a relaxed HgIrRu2 crystal (PBE).

Calculated values
**Crystal system**: orthorhombic
**Raw total energy**: -51.033 eV/cell
**Calculated density**: 15.755 g/cm3

Cell: 5.5615 8.0386 2.8053 Å, 90.00 90.00 90.00°
Element x y z (fractional)
Hg  0.0000  0.0000  0.0000
Hg  0.5000  0.5000  0.0000
Ir  0.0000  0.5000  0.0000
Ir  0.5000  0.0000  0.0000
Ru  0.2500  0.2500  0.5000
Ru  0.2500  0.7500  0.5000
Ru  0.7500  0.2500  0.5000
Ru  0.7500  0.7500  0.5000



(5)
Entry from Alexandria via LeMat-Bulk: a relaxed Hf2O crystal (PBE).

Calculated values
**Crystal system**: orthorhombic
**Raw total energy**: -60.296 eV/cell
**Calculated density**: 13.387 g/cm3

Cell: 5.0949 5.7210 3.1745 Å, 90.00 90.00 90.00°
Element x y z (fractional)
Hf  0.2373  0.1592  0.0000
Hf  0.2627  0.6592  0.5000
Hf  0.7373  0.3408  0.5000
Hf  0.7627  0.8408  0.0000
O  0.0000  0.5000  0.0000
O  0.5000  0.0000  0.5000



(6)
Entry from Alexandria via LeMat-Bulk: a relaxed Sr2AgHg crystal (PBE).

Calculated values
**Crystal system**: orthorhombic
**Raw total energy**: -10.306 eV/cell
**Calculated density**: 4.639 g/cm3

Cell: 3.9354 6.8361 12.8724 Å, 90.00 90.00 90.00°
Element x y z (fractional)
Sr  0.0000  0.0000  0.2439
Sr  0.0000  0.0000  0.7561
Sr  0.5000  0.5000  0.2561
Sr  0.5000  0.5000  0.7439
Ag  0.0000  0.0000  0.0000
Ag  0.5000  0.5000  0.5000
Hg  0.0000  0.0000  0.5000
Hg  0.5000  0.5000  0.0000



(7)
Entry from Alexandria via LeMat-Bulk: a relaxed Ba2Al7Si crystal (PBE).

Calculated values
**Crystal system**: tetragonal
**Raw total energy**: -37.633 eV/cell
**Calculated density**: 3.486 g/cm3

Cell: 4.5881 4.5881 11.1256 Å, 90.00 90.00 90.00°
Element x y z (fractional)
Ba  0.0000  0.5000  0.2464
Ba  0.5000  0.0000  0.7536
Al  0.0000  0.0000  0.0000
Al  0.0000  0.0000  0.5000
Al  0.0000  0.5000  0.6317
Al  0.0000  0.5000  0.8760
Al  0.5000  0.0000  0.1240
Al  0.5000  0.0000  0.3683
Al  0.5000  0.5000  0.5000
Si  0.5000  0.5000  0.0000



(8)
Entry from Alexandria via LeMat-Bulk: a relaxed KRbPS4 crystal (PBE).

Calculated values
**Crystal system**: monoclinic
**Raw total energy**: -58.723 eV/cell
**Calculated density**: 2.053 g/cm3

Cell: 7.1549 5.6050 11.5429 Å, 90.00 97.39 90.00°
Element x y z (fractional)
K  0.2396  0.2500  0.4697
K  0.7604  0.7500  0.5303
Rb  0.2408  0.2500  0.9114
Rb  0.7592  0.7500  0.0886
P  0.3127  0.7500  0.2461
P  0.6873  0.2500  0.7539
S  0.0912  0.7500  0.3392
S  0.2358  0.7500  0.0725
S  0.4845  0.5087  0.7001
S  0.4845  0.9913  0.7001
S  0.5155  0.0087  0.2999
S  0.5155  0.4913  0.2999
S  0.7642  0.2500  0.9275
S  0.9088  0.2500  0.6608



(9)
Entry from Alexandria via LeMat-Bulk: a relaxed AcBiRh crystal (PBE).

Calculated values
**Crystal system**: hexagonal
**Polymorph energy (0 for the lowest one)**: 0.0 meV per atom
**Calculated density**: 10.509 g/cm3

Cell: 4.7303 4.7303 4.3940 Å, 90.00 90.00 120.00°
Element x y z (fractional)
Ac  0.0000  0.0000  0.0000
Bi  0.3333  0.6667  0.5000
Rh  0.6667  0.3333  0.5000



(10)
Entry from Alexandria via LeMat-Bulk: a relaxed AgMo2W crystal (PBE).

Calculated values
**Crystal system**: orthorhombic
**Polymorph energy (0 for the lowest one)**: 0.0 meV per atom
**Calculated density**: 12.269 g/cm3

Cell: 3.2289 4.3937 9.2269 Å, 90.00 90.00 90.00°
Element x y z (fractional)
Ag  0.0000  0.0000  0.0000
Ag  0.5000  0.5000  0.0000
Mo  0.0000  0.5000  0.2603
Mo  0.0000  0.5000  0.7397
Mo  0.5000  0.0000  0.2603
Mo  0.5000  0.0000  0.7397
W  0.0000  0.0000  0.5000
W  0.5000  0.5000  0.5000



(11)
Entry from Alexandria via LeMat-Bulk: a relaxed Nb5CoRe4 crystal (PBE).

Calculated values
**Crystal system**: tetragonal
**Raw total energy**: -109.493 eV/cell
**Calculated density**: 12.995 g/cm3

Cell: 3.2022 3.2022 15.8048 Å, 90.00 90.00 90.00°
Element x y z (fractional)
Nb  0.0000  0.0000  0.0000
Nb  0.0000  0.0000  0.2032
Nb  0.0000  0.0000  0.4045
Nb  0.0000  0.0000  0.5955
Nb  0.0000  0.0000  0.7968
Co  0.5000  0.5000  0.5000
Re  0.5000  0.5000  0.1017
Re  0.5000  0.5000  0.3056
Re  0.5000  0.5000  0.6944
Re  0.5000  0.5000  0.8983



(12)
Entry from Alexandria via LeMat-Bulk: a relaxed CaCo2Cl crystal (PBE).

Calculated values
**Crystal system**: tetragonal
**Polymorph energy (0 for the lowest one)**: 439.1 meV per atom
**Calculated density**: 4.183 g/cm3

Cell: 4.6537 4.6537 14.1784 Å, 90.00 90.00 90.00°
Element x y z (fractional)
Ca  0.0000  0.2500  0.3750
Ca  0.0000  0.7500  0.6250
Ca  0.5000  0.2500  0.1250
Ca  0.5000  0.7500  0.8750
Co  0.0000  0.0000  0.0000
Co  0.0000  0.5000  0.0000
Co  0.2500  0.2500  0.7500
Co  0.2500  0.7500  0.2500
Co  0.5000  0.0000  0.5000
Co  0.5000  0.5000  0.5000
Co  0.7500  0.2500  0.7500
Co  0.7500  0.7500  0.2500
Cl  0.0000  0.2500  0.8750
Cl  0.0000  0.7500  0.1250
Cl  0.5000  0.2500  0.6250
Cl  0.5000  0.7500  0.3750



(13)
Entry from Alexandria via LeMat-Bulk: a relaxed Er5Te4Pt crystal (PBE).

Calculated values
**Crystal system**: tetragonal
**Raw total energy**: -53.733 eV/cell
**Calculated density**: 9.230 g/cm3

Cell: 15.9029 15.9029 15.9029 Å, 164.77 164.77 21.60°
Element x y z (fractional)
Er  0.0000  0.0000  0.0000
Er  0.2108  0.2108  0.0000
Er  0.4142  0.4142  0.0000
Er  0.5858  0.5858  0.0000
Er  0.7892  0.7892  0.0000
Te  0.1076  0.1076  0.0000
Te  0.3092  0.3092  0.0000
Te  0.6908  0.6908  0.0000
Te  0.8924  0.8924  0.0000
Pt  0.5000  0.5000  0.0000



(14)
Entry from Alexandria via LeMat-Bulk: a relaxed Ho5Zr2Sc4 crystal (PBE).

Calculated values
**Crystal system**: orthorhombic
**Raw total energy**: -62.980 eV/cell
**Calculated density**: 6.404 g/cm3

Cell: 11.7232 11.7232 11.7232 Å, 163.67 137.11 46.19°
Element x y z (fractional)
Ho  0.0000  0.0000  0.0000
Ho  0.0565  0.3478  0.7087
Ho  0.3609  0.6522  0.7087
Ho  0.6391  0.3478  0.2913
Ho  0.9435  0.6522  0.2913
Zr  0.2719  0.7719  0.5000
Zr  0.7281  0.2281  0.5000
Sc  0.3167  0.5000  0.8167
Sc  0.4039  0.9039  0.5000
Sc  0.5961  0.0961  0.5000
Sc  0.6833  0.5000  0.1833



(15)
Entry from Alexandria via LeMat-Bulk: a relaxed CaScB crystal (PBE).

Calculated values
**Crystal system**: monoclinic
**Polymorph energy (0 for the lowest one)**: 152.1 meV per atom
**Calculated density**: 2.420 g/cm3

Cell: 13.2218 3.2124 6.3109 Å, 90.00 101.08 90.00°
Element x y z (fractional)
Ca  0.0000  0.0000  0.0000
Ca  0.0763  0.5000  0.5215
Ca  0.5000  0.5000  0.0000
Ca  0.5763  0.0000  0.5215
Sc  0.2589  0.5000  0.0551
Sc  0.3197  0.0000  0.5606
Sc  0.7589  0.0000  0.0551
Sc  0.8197  0.5000  0.5606
B  0.3892  0.0000  0.2428
B  0.4012  0.5000  0.3459
B  0.8892  0.5000  0.2428
B  0.9012  0.0000  0.3459



(16)
Entry from Alexandria via LeMat-Bulk: a relaxed RePbO5 crystal (PBE).

Calculated values
**Crystal system**: orthorhombic
**Raw total energy**: -98.886 eV/cell
**Calculated density**: 7.534 g/cm3

Cell: 3.7779 6.6935 8.2527 Å, 90.00 90.00 90.00°
Element x y z (fractional)
Re  0.0000  0.0000  0.0000
Re  0.5000  0.5000  0.5000
Pb  0.0000  0.0000  0.5000
Pb  0.5000  0.5000  0.0000
O  0.0000  0.0000  0.2216
O  0.0000  0.0000  0.7784
O  0.0000  0.2934  0.0000
O  0.0000  0.5000  0.5000
O  0.0000  0.7066  0.0000
O  0.5000  0.0000  0.0000
O  0.5000  0.2066  0.5000
O  0.5000  0.5000  0.2784
O  0.5000  0.5000  0.7216
O  0.5000  0.7934  0.5000



(17)
Entry from Alexandria via LeMat-Bulk: a relaxed PrAl2Pd4 crystal (PBE).

Calculated values
**Crystal system**: tetragonal
**Raw total energy**: -77.036 eV/cell
**Calculated density**: 8.243 g/cm3

Cell: 7.9325 7.9325 3.9731 Å, 90.00 90.00 90.00°
Element x y z (fractional)
Pr  0.0000  0.0000  0.0000
Pr  0.5000  0.5000  0.5000
Al  0.2244  0.2244  0.5000
Al  0.2756  0.7244  0.0000
Al  0.7244  0.2756  0.0000
Al  0.7756  0.7756  0.5000
Pd  0.0806  0.6687  0.5000
Pd  0.1687  0.4194  0.0000
Pd  0.3313  0.9194  0.5000
Pd  0.4194  0.1687  0.0000
Pd  0.5806  0.8313  0.0000
Pd  0.6687  0.0806  0.5000
Pd  0.8313  0.5806  0.0000
Pd  0.9194  0.3313  0.5000



(18)
Entry from Alexandria via LeMat-Bulk: a relaxed Cs2CdTe2 crystal (PBE).

Calculated values
**Crystal system**: tetragonal
**Raw total energy**: -23.793 eV/cell
**Calculated density**: 4.836 g/cm3

Cell: 8.5947 8.5947 5.8881 Å, 90.00 90.00 90.00°
Element x y z (fractional)
Cs  0.1477  0.3523  0.0000
Cs  0.3523  0.8523  0.0000
Cs  0.6477  0.1477  0.0000
Cs  0.8523  0.6477  0.0000
Cd  0.0000  0.0000  0.5000
Cd  0.5000  0.5000  0.5000
Te  0.1739  0.6739  0.5000
Te  0.3261  0.1739  0.5000
Te  0.6739  0.8261  0.5000
Te  0.8261  0.3261  0.5000



(19)
Entry from Alexandria via LeMat-Bulk: a relaxed Cd2Hg2BiPb crystal (PBE).

Calculated values
**Crystal system**: monoclinic
**Raw total energy**: -19.326 eV/cell
**Calculated density**: 10.129 g/cm3

Cell: 7.3791 6.0014 7.9275 Å, 90.00 103.27 90.00°
Element x y z (fractional)
Cd  0.0009  0.2500  0.0960
Cd  0.4212  0.7500  0.9615
Cd  0.5788  0.2500  0.0385
Cd  0.9991  0.7500  0.9040
Hg  0.3711  0.0029  0.2992
Hg  0.3711  0.4971  0.2992
Hg  0.6289  0.5029  0.7008
Hg  0.6289  0.9971  0.7008
Bi  0.1824  0.2500  0.7907
Bi  0.8176  0.7500  0.2093
Pb  0.1697  0.7500  0.5664
Pb  0.8303  0.2500  0.4336



(20)
Entry from Alexandria via LeMat-Bulk: a relaxed Ho12Fe6Bi crystal (PBE).

Calculated values
**Crystal system**: cubic
**Raw total energy**: -112.009 eV/cell
**Calculated density**: 9.186 g/cm3

Cell: 8.3990 8.3990 8.3990 Å, 109.47 109.47 109.47°
Element x y z (fractional)
Ho  0.1042  0.8024  0.3018
Ho  0.1976  0.3018  0.4994
Ho  0.1976  0.6982  0.8958
Ho  0.3018  0.1042  0.8024
Ho  0.3018  0.4994  0.1976
Ho  0.4994  0.1976  0.3018
Ho  0.5006  0.8024  0.6982
Ho  0.6982  0.5006  0.8024
Ho  0.6982  0.8958  0.1976
Ho  0.8024  0.3018  0.1042
Ho  0.8024  0.6982  0.5006
Ho  0.8958  0.1976  0.6982
Fe  0.1089  0.6089  0.5000
Fe  0.3911  0.5000  0.8911
Fe  0.5000  0.1089  0.6089
Fe  0.5000  0.8911  0.3911
Fe  0.6089  0.5000  0.1089
Fe  0.8911  0.3911  0.5000
Bi  0.0000  0.0000  0.0000



(21)
Entry from Alexandria via LeMat-Bulk: a relaxed DyHo3Tm5 crystal (PBE).

Calculated values
**Crystal system**: monoclinic
**Polymorph energy (0 for the lowest one)**: 0.0 meV per atom
**Calculated density**: 8.823 g/cm3

Cell: 9.1321 9.1321 10.8733 Å, 125.96 125.96 56.89°
Element x y z (fractional)
Dy  0.1737  0.8263  0.7500
Dy  0.8263  0.1737  0.2500
Ho  0.2493  0.3142  0.5308
Ho  0.3142  0.2493  0.0308
Ho  0.5000  0.5000  0.0000
Ho  0.5000  0.5000  0.5000
Ho  0.6858  0.7507  0.9692
Ho  0.7507  0.6858  0.4692
Tm  0.0231  0.7845  0.3868
Tm  0.0371  0.6014  0.8364
Tm  0.2155  0.9769  0.1132
Tm  0.2620  0.7380  0.2500
Tm  0.3986  0.9629  0.6636
Tm  0.6014  0.0371  0.3364
Tm  0.7380  0.2620  0.7500
Tm  0.7845  0.0231  0.8868
Tm  0.9629  0.3986  0.1636
Tm  0.9769  0.2155  0.6132



(22)
Entry from Alexandria via LeMat-Bulk: a relaxed MgTaBe2V crystal (PBE).

Calculated values
**Crystal system**: tetragonal
**Raw total energy**: -22.947 eV/cell
**Calculated density**: 6.063 g/cm3

Cell: 4.0883 4.0883 4.4936 Å, 90.00 90.00 90.00°
Element x y z (fractional)
Mg  0.0000  0.0000  0.0000
Ta  0.5000  0.5000  0.5000
Be  0.0000  0.5000  0.0000
Be  0.5000  0.0000  0.0000
V  0.0000  0.0000  0.5000



(23)
Entry from Alexandria via LeMat-Bulk: a relaxed Cs3UGa2O8 crystal (PBE).

Calculated values
**Crystal system**: trigonal
**Raw total energy**: -88.089 eV/cell
**Calculated density**: 5.422 g/cm3

Cell: 6.0457 6.0457 8.7486 Å, 90.00 90.00 120.00°
Element x y z (fractional)
Cs  0.0000  0.0000  0.0000
Cs  0.3333  0.6667  0.7534
Cs  0.6667  0.3333  0.2466
U  0.0000  0.0000  0.5000
Ga  0.3333  0.6667  0.2914
Ga  0.6667  0.3333  0.7086
O  0.1638  0.3275  0.3626
O  0.1638  0.8362  0.3626
O  0.3275  0.1638  0.6374
O  0.3333  0.6667  0.0830
O  0.6667  0.3333  0.9170
O  0.6725  0.8362  0.3626
O  0.8362  0.1638  0.6374
O  0.8362  0.6725  0.6374